Entry 1:
## NdSmY2Se4 (PBE)

Data for a geometry-optimized NdSmY2Se4 structure. Values from VASP.

Cell and atoms, written as Quantum ESPRESSO input:
```
&SYSTEM
  ibrav = 0, nat = 8, ntyp = 4
/
ATOMIC_SPECIES
Nd 144.24 Nd.upf
Sm 150.36 Sm.upf
Y 88.91 Y.upf
Se 78.96 Se.upf
CELL_PARAMETERS angstrom
-3.488 -2.042 -0.606
2.943 -5.929 3.037
-1.296 0.129 7.025
ATOMIC_POSITIONS crystal
Nd 0.500 0.500 0.000
Sm 0.000 0.500 0.500
Y 0.000 0.000 0.000
Y 0.500 0.000 0.500
Se 0.000 0.762 0.744
Se 0.000 0.238 0.256
Se 0.500 0.760 0.249
Se 0.500 0.240 0.751
```

Output
total energy = -0.23306 hartree per atom
energy relative to the elements, uncorrected = -173.4 kJ per mole of atoms
space-group type = P2/m
DOS(E_F) = 4.528 states/eV/f.u.


Entry 2:
## NiOs2 (PBE)

Data for a geometry-optimized NiOs2 structure. Values from VASP.

Cell and atoms, written as Quantum ESPRESSO input:
```
&SYSTEM
  ibrav = 0, nat = 6, ntyp = 2
/
ATOMIC_SPECIES
Ni 58.69 Ni.upf
Os 190.23 Os.upf
CELL_PARAMETERS angstrom
-0.237 -1.652 2.148
6.297 0.851 3.070
-1.549 3.200 2.290
ATOMIC_POSITIONS crystal
Ni 0.334 0.331 0.000
Ni 0.555 0.891 0.500
Os 0.000 0.000 0.000
Os 0.226 0.548 0.500
Os 0.663 0.674 0.000
Os 0.889 0.222 0.500
```

Output
total energy = -0.34450 hartree per atom
ΔH_f (0 K) = 0.04 eV per atom
space-group type = Cmcm
DOS(E_F) = 1.974 states/eV/f.u.
offset from the most stable computed form = 0.000 eV per atom


Entry 3:
## Sm4Be3SnPd12 (PBE)

Data for a geometry-optimized Sm4Be3SnPd12 structure. Values from VASP.

Cell and atoms, written as Quantum ESPRESSO input:
```
&SYSTEM
  ibrav = 0, nat = 20, ntyp = 4
/
ATOMIC_SPECIES
Sm 150.36 Sm.upf
Be 9.01 Be.upf
Sn 118.71 Sn.upf
Pd 106.42 Pd.upf
CELL_PARAMETERS angstrom
7.860 0.000 0.000
-2.620 7.410 0.000
-2.620 -3.705 6.418
ATOMIC_POSITIONS crystal
Sm 0.500 0.500 0.500
Sm 0.000 0.000 0.500
Sm 0.500 0.000 0.000
Sm 0.000 0.500 0.000
Be 0.500 0.000 0.500
Be 0.500 0.500 0.000
Be 0.000 0.500 0.500
Sn 0.000 0.000 0.000
Pd 0.250 0.500 0.750
Pd 0.725 0.000 0.725
Pd 0.275 0.000 0.275
Pd 0.750 0.500 0.250
Pd 0.725 0.725 0.000
Pd 0.275 0.275 0.000
Pd 0.750 0.250 0.500
Pd 0.250 0.750 0.500
Pd 0.500 0.250 0.750
Pd 0.000 0.725 0.725
Pd 0.500 0.750 0.250
Pd 0.000 0.275 0.275
```

Output
total energy = -0.19686 hartree per atom
ΔH_f (0 K) = -0.54 eV per atom
space-group type = Im-3m
DOS(E_F) = 12.679 states/eV/f.u.


Entry 4:
## LiFe4Rh5 (PBE)

Data for a geometry-optimized LiFe4Rh5 structure. Values from VASP.

Cell and atoms, written as Quantum ESPRESSO input:
```
&SYSTEM
  ibrav = 0, nat = 10, ntyp = 3
/
ATOMIC_SPECIES
Li 6.94 Li.upf
Fe 55.84 Fe.upf
Rh 102.91 Rh.upf
CELL_PARAMETERS angstrom
-1.614 0.321 2.546
-0.507 -2.989 0.056
12.068 -1.900 7.891
ATOMIC_POSITIONS crystal
Li 0.000 0.000 0.000
Fe 0.000 0.000 0.194
Fe 0.000 0.000 0.397
Fe 0.000 0.000 0.603
Fe 0.000 0.000 0.806
Rh 0.500 0.500 0.099
Rh 0.500 0.500 0.298
Rh 0.500 0.500 0.500
Rh 0.500 0.500 0.702
Rh 0.500 0.500 0.901
```

Output
total energy = -0.26897 hartree per atom
ΔH_f (0 K) = -0.07 eV per atom
space-group type = P4/mmm
DOS(E_F) = 8.118 states/eV/f.u.